# 1
# TlCd2Ni | the Alexandria database | PBE | optimized geometry
data_TlCd2Ni
_chemical_formula_sum 'Tl3 Cd6 Ni3'
_space_group_name_H-M_alt 'R -3 m'
_space_group_IT_number 166
_space_group_name_Hall '-R 3 2"'
_cell_length_a 3.2709
_cell_length_b 3.2709
_cell_length_c 27.6445
_cell_angle_alpha 90.00
_cell_angle_beta 90.00
_cell_angle_gamma 120.00
loop_
_atom_site_label
_atom_site_type_symbol
_atom_site_fract_x
_atom_site_fract_y
_atom_site_fract_z
_atom_site_occupancy
Tl1 Tl 0.0000 0.0000 0.0000 1
Cd1 Cd 0.0000 0.0000 0.2350 1
Ni1 Ni 0.0000 0.0000 0.5000 1
# - density (kg/m3) = 9489
# - energy above the lowest structure with this stoichiometry (meV per atom) = 92
# - calculated total energy (eV per atom) = -2.32
# - energy relative to the elements (eV/atom) = 0.178



# 2
# MnSiRh | the Alexandria database | PBE | optimized geometry
data_MnSiRh
_chemical_formula_sum 'Mn4 Si4 Rh4'
_space_group_name_H-M_alt 'P n m a'
_space_group_IT_number 62
_cell_length_a 5.9863
_cell_length_b 3.8221
_cell_length_c 7.2491
_cell_angle_alpha 90.00
_cell_angle_beta 90.00
_cell_angle_gamma 90.00
loop_
_space_group_symop_operation_xyz
'x,y,z'
'-x,-y,-z'
'-x+1/2,-y,z+1/2'
'x+1/2,y,-z+1/2'
'x+1/2,-y+1/2,-z+1/2'
'-x+1/2,y+1/2,z+1/2'
'-x,y+1/2,-z'
'x,-y+1/2,z'
loop_
_atom_site_label
_atom_site_type_symbol
_atom_site_fract_x
_atom_site_fract_y
_atom_site_fract_z
_atom_site_occupancy
Mn1 Mn 0.0309 0.2500 0.1820 1
Si1 Si 0.2369 0.7500 0.3782 1
Rh1 Rh 0.1616 0.2500 0.5641 1
# - density (kg/m3) = 7446
# - energy relative to the elements, uncorrected (meV/atom) = -578
# - calculated total energy (eV per atom) = -7.89



# 3
# DyErGaPd | the Alexandria database | PBE | optimized geometry
data_DyErGaPd
_chemical_formula_sum 'Dy2 Er2 Ga2 Pd2'
_space_group_name_H-M_alt 'A m m 2'
_space_group_IT_number 38
_cell_length_a 4.4833
_cell_length_b 3.7100
_cell_length_c 10.9586
_cell_angle_alpha 90.00
_cell_angle_beta 90.00
_cell_angle_gamma 90.00
loop_
_space_group_symop_operation_xyz
'x,y,z'
'-x,-y,z'
'-x,y,z'
'x,-y,z'
'x,y+1/2,z+1/2'
'-x,-y+1/2,z+1/2'
'-x,y+1/2,z+1/2'
'x,-y+1/2,z+1/2'
loop_
_atom_site_label
_atom_site_type_symbol
_atom_site_fract_x
_atom_site_fract_y
_atom_site_fract_z
_atom_site_occupancy
Dy1 Dy 0.0000 0.0000 0.0000 1
Er1 Er 0.5000 0.0000 0.7158 1
Ga1 Ga 0.0000 0.0000 0.2777 1
Pd1 Pd 0.5000 0.0000 0.4315 1
# - density (kg/m3) = 9218
# - energy above the lowest structure with this stoichiometry (meV per atom) = 0
# - calculated total energy (eV per atom) = -5.10
# - energy relative to the elements (eV/atom) = -0.753